Re2BSb: optimized geometry, PBE-GGA.

Unit cell a=4.672 b=4.672 c=7.529 alpha=71.92 beta=71.92 gamma=90.00
Fractional positions:
Re1 0.493 0.125 0.250
Re2 0.257 0.625 0.250
Re3 0.375 0.507 0.750
Re4 0.875 0.743 0.750
B1 0.500 0.500 0.000
B2 0.250 0.750 0.500
Sb1 0.000 0.000 0.000
Sb2 0.750 0.250 0.500

## Properties
Formation energy from raw total energies in eV per atom: 0.826
Size of the total moment in μB per formula unit: 0.00